(1)
Entry from the Alexandria database: an optimized crystal structure of Ac2TbNd3Y6 (PBE). Values from VASP.

Structure (Quantum ESPRESSO input):
```
&SYSTEM
  ibrav = 0, nat = 12, ntyp = 4
/
ATOMIC_SPECIES
Ac 227.00 Ac.upf
Tb 158.93 Tb.upf
Nd 144.24 Nd.upf
Y 88.91 Y.upf
CELL_PARAMETERS angstrom
3.189 -5.523 0.000
3.189 5.523 0.000
-2.122 0.000 11.811
ATOMIC_POSITIONS crystal
Ac 0.166 0.834 0.000
Ac 0.834 0.166 0.000
Tb 0.500 0.500 0.000
Nd 0.000 0.000 0.500
Nd 0.333 0.667 0.500
Nd 0.667 0.333 0.500
Y 0.085 0.416 0.746
Y 0.253 0.253 0.254
Y 0.416 0.085 0.746
Y 0.584 0.915 0.254
Y 0.747 0.747 0.746
Y 0.915 0.584 0.254
```

Calculated density ... 6.3 g/cm3
Size of the total moment ... 0.00 μB per cell
Calculated volume ... 34.7 Å³/atom
Total energy ... -65.62 eV per cell
Calculated formation energy ... 0.60 kcal/mol of atoms
DOS(E_F) ... 1.15 states/eV/atom

=====

(2)
Entry from the Alexandria database: an optimized crystal structure of AcTb6NdY2 (PBE). Values from VASP.

Structure (Quantum ESPRESSO input):
```
&SYSTEM
  ibrav = 0, nat = 20, ntyp = 4
/
ATOMIC_SPECIES
Ac 227.00 Ac.upf
Tb 158.93 Tb.upf
Nd 144.24 Nd.upf
Y 88.91 Y.upf
CELL_PARAMETERS angstrom
4.717 -7.606 0.000
4.717 7.606 0.000
-0.725 0.000 9.520
ATOMIC_POSITIONS crystal
Ac 0.040 0.960 0.750
Ac 0.960 0.040 0.250
Tb 0.010 0.548 0.678
Tb 0.116 0.756 0.059
Tb 0.244 0.884 0.441
Tb 0.291 0.523 0.886
Tb 0.452 0.990 0.822
Tb 0.477 0.709 0.614
Tb 0.523 0.291 0.386
Tb 0.548 0.010 0.178
Tb 0.709 0.477 0.114
Tb 0.756 0.116 0.559
Tb 0.884 0.244 0.941
Tb 0.990 0.452 0.322
Nd 0.411 0.589 0.250
Nd 0.589 0.411 0.750
Y 0.203 0.308 0.553
Y 0.308 0.203 0.053
Y 0.692 0.797 0.947
Y 0.797 0.692 0.447
```

Calculated density ... 7.3 g/cm3
Size of the total moment ... 0.00 μB per cell
Calculated volume ... 34.2 Å³/atom
Total energy ... -96.55 eV per cell
Calculated formation energy ... 3.02 kcal/mol of atoms
DOS(E_F) ... 1.45 states/eV/atom

=====

(3)
Entry from the Alexandria database: an optimized crystal structure of AcTbNd2Y (PBE). Values from VASP.

Structure (Quantum ESPRESSO input):
```
&SYSTEM
  ibrav = 0, nat = 10, ntyp = 4
/
ATOMIC_SPECIES
Ac 227.00 Ac.upf
Tb 158.93 Tb.upf
Nd 144.24 Nd.upf
Y 88.91 Y.upf
CELL_PARAMETERS angstrom
6.498 0.000 0.000
0.000 5.929 0.000
-3.238 0.000 9.384
ATOMIC_POSITIONS crystal
Ac 0.231 0.250 0.299
Ac 0.769 0.750 0.701
Tb 0.040 0.250 0.901
Tb 0.960 0.750 0.099
Nd 0.365 0.750 0.906
Nd 0.430 0.250 0.702
Nd 0.570 0.750 0.298
Nd 0.635 0.250 0.094
Y 0.161 0.750 0.500
Y 0.839 0.250 0.500
```

Calculated density ... 7.0 g/cm3
Size of the total moment ... 0.00 μB per cell
Calculated volume ... 36.2 Å³/atom
Total energy ... -49.08 eV per cell
Calculated formation energy ... 0.92 kcal/mol of atoms
DOS(E_F) ... 1.74 states/eV/atom